This record from the Alexandria database describes an optimized crystal structure of K2Ni3F10. The functional is GGA+U.

abc: 9.8008 9.8008 7.7714
angles: 111.81 111.81 35.96
Closest atoms and distances in Å follow each position.
Element x y z (fractional)
K  0.1123  0.1123  0.2225  12 F 2.78-3.04
K  0.2131  0.2131  0.8237  7 F 2.64-2.93
K  0.7869  0.7869  0.1763  7 F 2.64-2.93
K  0.8877  0.8877  0.7775  12 F 2.78-3.04
Ni  0.2453  0.7547  0.5000  6 F 1.98-2.09
Ni  0.3200  0.3200  0.4815  4 F 1.81-1.92
Ni  0.4235  0.4235  0.0309  6 F 1.83-2.02
Ni  0.5765  0.5765  0.9691  6 F 1.83-2.02
Ni  0.6800  0.6800  0.5185  4 F 1.81-1.92
Ni  0.7547  0.2453  0.5000  6 F 1.98-2.09
F  0.0000  0.5000  0.5000  2 Ni 2.04
F  0.0191  0.0191  0.6812  2 Ni 1.98
F  0.1338  0.5794  0.0292  1 Ni 1.83
F  0.1503  0.6231  0.4734  2 Ni 1.91-2.04
F  0.2639  0.2639  0.2318  1 Ni 1.81
F  0.2947  0.7053  0.0000  2 Ni 1.98
F  0.3678  0.3678  0.7503  2 Ni 1.92-2.02
F  0.3769  0.8497  0.5266  2 Ni 1.91-2.04
F  0.4206  0.8662  0.9708  1 Ni 1.83
F  0.4777  0.4777  0.3051  3 Ni 1.97-2.09
F  0.5000  0.0000  0.5000  2 Ni 2.04
F  0.5223  0.5223  0.6949  3 Ni 1.97-2.09
F  0.5794  0.1338  0.0292  1 Ni 1.83
F  0.6231  0.1503  0.4734  2 Ni 1.91-2.04
F  0.6322  0.6322  0.2497  2 Ni 1.92-2.02
F  0.7053  0.2947  0.0000  2 Ni 1.98
F  0.7361  0.7361  0.7682  1 Ni 1.81
F  0.8497  0.3769  0.5266  2 Ni 1.91-2.04
F  0.8662  0.4206  0.9708  1 Ni 1.83
F  0.9809  0.9809  0.3188  2 Ni 1.98

Values from the calculation:
- Uncorrected energy: -4.0230 eV/atom
- Size of the total moment: 15.86 μB/cell